Record 1
Entry from Alexandria: an optimized crystal structure of Mg2AlRuO6 (PBE-GGA).

Cell lengths 3.9445, 5.4016, 5.4016 Å; angles 90.00, 90.00, 90.00 degrees
Last column: nearest neighbours and their distance in Å.
Sites, in units of the cell vectors:
Mg1 0.9463 0.5000 0.0000  4 O 2.11
Mg2 0.9463 0.0000 0.5000  4 O 2.11
Al1 0.6452 0.0000 0.0000  5 O 1.82-1.90
Ru1 0.6557 0.5000 0.5000  5 O 1.84-1.96
O1 0.7201 0.2461 0.2461  1 Al 1.90, 1 Ru 1.96, 2 Mg 2.11
O2 0.7201 0.2461 0.7539  1 Al 1.90, 1 Ru 1.96, 2 Mg 2.11
O3 0.1889 0.5000 0.5000  1 Ru 1.84
O4 0.1840 0.0000 0.0000  1 Al 1.82
O5 0.7201 0.7539 0.7539  1 Al 1.90, 1 Ru 1.96, 2 Mg 2.11
O6 0.7201 0.7539 0.2461  1 Al 1.90, 1 Ru 1.96, 2 Mg 2.11

density	3.93	g/cm³
formation energy from raw total energies	-1.7804	eV per atom
total magnetization	2.46	μB per formula unit

Record 2
Entry from Alexandria: an optimized crystal structure of MgAlSbO6 (PBE-GGA).

Cell lengths 4.6512, 4.6512, 9.1662 Å; angles 90.00, 90.00, 90.00 degrees
Last column: nearest neighbours and their distance in Å.
Sites, in units of the cell vectors:
Mg1 0.5000 0.5000 0.5029  6 O 2.05-2.12
Mg2 0.0000 0.0000 0.0029  6 O 2.05-2.12
Al1 0.5000 0.5000 0.8336  6 O 1.91-1.92
Al2 0.0000 0.0000 0.3336  6 O 1.91-1.92
Sb1 0.5000 0.5000 0.1636  6 O 2.00-2.02
Sb2 0.0000 0.0000 0.6636  6 O 2.00-2.02
O1 0.1889 0.8111 0.4930  1 Al 1.92, 1 Sb 2.00, 1 Mg 2.05
O2 0.8111 0.1889 0.4930  1 Al 1.92, 1 Sb 2.00, 1 Mg 2.05
O3 0.3111 0.3111 0.9930  1 Al 1.92, 1 Sb 2.00, 1 Mg 2.05
O4 0.6889 0.6889 0.9930  1 Al 1.92, 1 Sb 2.00, 1 Mg 2.05
O5 0.1968 0.8032 0.1808  1 Al 1.91, 1 Sb 2.00, 1 Mg 2.08
O6 0.8032 0.1968 0.1808  1 Al 1.91, 1 Sb 2.00, 1 Mg 2.08
O7 0.3032 0.3032 0.6808  1 Al 1.91, 1 Sb 2.00, 1 Mg 2.08
O8 0.6968 0.6968 0.6808  1 Al 1.91, 1 Sb 2.00, 1 Mg 2.08
O9 0.7920 0.2080 0.8262  1 Al 1.92, 1 Sb 2.02, 1 Mg 2.12
O10 0.2080 0.7920 0.8262  1 Al 1.92, 1 Sb 2.02, 1 Mg 2.12
O11 0.7080 0.7080 0.3262  1 Al 1.92, 1 Sb 2.02, 1 Mg 2.12
O12 0.2920 0.2920 0.3262  1 Al 1.92, 1 Sb 2.02, 1 Mg 2.12

density	4.51	g/cm³
formation energy from raw total energies	-1.7900	eV per atom
total magnetization	2.01	μB per formula unit

Record 3
Entry from Alexandria: an optimized crystal structure of MgAl2SbO (PBE-GGA).

Cell lengths 4.2039, 5.1238, 4.2039 Å; angles 90.00, 90.00, 90.00 degrees
Last column: nearest neighbours and their distance in Å.
Sites, in units of the cell vectors:
Sb1 0.0000 0.5000 0.0000  2 O 2.56
Mg1 0.5000 0.5000 0.5000  4 Sb 2.97, 8 Al 3.31
Al1 0.0000 0.0000 0.5000  2 O 2.10
Al2 0.5000 0.0000 0.0000  2 O 2.10
O1 0.0000 0.0000 0.0000  4 Al 2.10

density	3.96	g/cm³
formation energy from raw total energies	-0.2907	eV per atom
total magnetization	0.00	μB per formula unit

Record 4
Entry from Alexandria: an optimized crystal structure of MgSc12Al4O3 (PBE-GGA).

Cell lengths 7.9132, 7.9132, 7.9132 Å; angles 109.47, 109.47, 109.47 degrees
Last column: nearest neighbours and their distance in Å.
Sites, in units of the cell vectors:
Mg1 0.0000 0.0000 0.0000  6 Sc 2.49
Sc1 0.2500 0.5000 0.7500  2 O 2.28
Sc2 0.7270 0.0000 0.7270  1 O 2.07
Sc3 0.2730 0.0000 0.2730  1 O 2.07
Sc4 0.7500 0.5000 0.2500  2 O 2.28
Sc5 0.7270 0.7270 0.0000  1 O 2.07
Sc6 0.2730 0.2730 0.0000  1 O 2.07
Sc7 0.7500 0.2500 0.5000  2 O 2.28
Sc8 0.2500 0.7500 0.5000  2 O 2.28
Sc9 0.5000 0.2500 0.7500  2 O 2.28
Sc10 0.0000 0.7270 0.7270  1 O 2.07
Sc11 0.5000 0.7500 0.2500  2 O 2.28
Sc12 0.0000 0.2730 0.2730  1 O 2.07
Al1 0.5000 0.5000 0.5000  12 Sc 3.23-3.24
Al2 0.0000 0.0000 0.5000  12 Sc 3.23-3.24
Al3 0.5000 0.0000 0.0000  12 Sc 3.23-3.24
Al4 0.0000 0.5000 0.0000  12 Sc 3.23-3.24
O1 0.5000 0.0000 0.5000  6 Sc 2.07-2.28
O2 0.5000 0.5000 0.0000  6 Sc 2.07-2.28
O3 0.0000 0.5000 0.5000  6 Sc 2.07-2.28

density	3.13	g/cm³
formation energy from raw total energies	-0.8675	eV per atom
total magnetization	0.00	μB per formula unit

Record 5
Entry from Alexandria: an optimized crystal structure of MgScAlO4 (PBE-GGA).

Cell lengths 5.9184, 5.9752, 5.9752 Å; angles 60.91, 60.31, 60.31 degrees
Last column: nearest neighbours and their distance in Å.
Sites, in units of the cell vectors:
Mg1 0.5000 0.0000 0.5000  6 O 2.11-2.12
Mg2 0.0000 0.0000 0.5000  6 O 2.11-2.12
Sc1 0.0000 0.0000 0.0000  6 O 2.11-2.12
Sc2 0.0000 0.5000 0.5000  6 O 2.11-2.12
Al1 0.6287 0.6213 0.1213  4 O 1.83-1.84
Al2 0.3713 0.3787 0.8787  4 O 1.83-1.84
O1 0.7502 0.7493 0.7503  1 Al 1.83
O2 0.2498 0.7497 0.7507  1 Al 1.83
O3 0.7502 0.2503 0.2493  1 Al 1.83
O4 0.2498 0.2507 0.2497  1 Al 1.83
O5 0.2497 0.7499 0.2499  1 Al 1.84
O6 0.7504 0.7499 0.2499  1 Al 1.84
O7 0.2496 0.2501 0.7501  1 Al 1.84
O8 0.7503 0.2501 0.7501  1 Al 1.84

density	3.52	g/cm³
formation energy from raw total energies	-3.0673	eV per atom
total magnetization	0.00	μB per formula unit

Record 6
Entry from Alexandria: an optimized crystal structure of MgScAlO4 (PBE-GGA).

Cell lengths 8.5713, 8.5713, 8.5713 Å; angles 22.00, 22.00, 22.00 degrees
Last column: nearest neighbours and their distance in Å.
Sites, in units of the cell vectors:
Mg1 0.7828 0.7828 0.7828  4 O 1.97-2.00
Sc1 0.9954 0.9954 0.9954  6 O 2.15
Al1 0.2133 0.2133 0.2133  5 O 1.87-1.89
O1 0.8792 0.8792 0.8792  3 Al 1.89
O2 0.1382 0.1382 0.1382  1 Al 1.88, 3 Mg 1.97
O3 0.7031 0.7031 0.7031  1 Mg 2.00, 3 Sc 2.15
O4 0.2877 0.2877 0.2877  1 Al 1.87

density	3.44	g/cm³
formation energy from raw total energies	-3.0946	eV per atom
total magnetization	0.00	μB per formula unit

Record 7
Entry from Alexandria: an optimized crystal structure of Mg2AlSeO6 (PBE-GGA).

Cell lengths 4.6442, 5.0993, 5.0993 Å; angles 90.00, 90.00, 90.00 degrees
Last column: nearest neighbours and their distance in Å.
Sites, in units of the cell vectors:
Mg1 0.9592 0.5000 0.0000  4 O 2.10
Mg2 0.9592 0.0000 0.5000  4 O 2.10
Al1 0.5765 0.0000 0.0000  5 O 1.73-1.91
Se1 0.6011 0.5000 0.5000  1 O 1.71
O1 0.7289 0.2467 0.2467  1 Al 1.91, 1 Se 1.92, 2 Mg 2.10
O2 0.7289 0.2467 0.7533  1 Al 1.91, 1 Se 1.92, 2 Mg 2.10
O3 0.2319 0.5000 0.5000  1 Se 1.71
O4 0.2035 0.0000 0.0000  1 Al 1.73
O5 0.7289 0.7533 0.7533  1 Al 1.91, 1 Se 1.92, 2 Mg 2.10
O6 0.7289 0.7533 0.2467  1 Al 1.91, 1 Se 1.92, 2 Mg 2.10

density	3.45	g/cm³
formation energy from raw total energies	-1.7154	eV per atom
total magnetization	0.00	μB per formula unit

Please write out number 2 again, unchanged.
Entry from Alexandria: an optimized crystal structure of MgAlSbO6 (PBE-GGA).

Cell lengths 4.6512, 4.6512, 9.1662 Å; angles 90.00, 90.00, 90.00 degrees
Last column: nearest neighbours and their distance in Å.
Sites, in units of the cell vectors:
Mg1 0.5000 0.5000 0.5029  6 O 2.05-2.12
Mg2 0.0000 0.0000 0.0029  6 O 2.05-2.12
Al1 0.5000 0.5000 0.8336  6 O 1.91-1.92
Al2 0.0000 0.0000 0.3336  6 O 1.91-1.92
Sb1 0.5000 0.5000 0.1636  6 O 2.00-2.02
Sb2 0.0000 0.0000 0.6636  6 O 2.00-2.02
O1 0.1889 0.8111 0.4930  1 Al 1.92, 1 Sb 2.00, 1 Mg 2.05
O2 0.8111 0.1889 0.4930  1 Al 1.92, 1 Sb 2.00, 1 Mg 2.05
O3 0.3111 0.3111 0.9930  1 Al 1.92, 1 Sb 2.00, 1 Mg 2.05
O4 0.6889 0.6889 0.9930  1 Al 1.92, 1 Sb 2.00, 1 Mg 2.05
O5 0.1968 0.8032 0.1808  1 Al 1.91, 1 Sb 2.00, 1 Mg 2.08
O6 0.8032 0.1968 0.1808  1 Al 1.91, 1 Sb 2.00, 1 Mg 2.08
O7 0.3032 0.3032 0.6808  1 Al 1.91, 1 Sb 2.00, 1 Mg 2.08
O8 0.6968 0.6968 0.6808  1 Al 1.91, 1 Sb 2.00, 1 Mg 2.08
O9 0.7920 0.2080 0.8262  1 Al 1.92, 1 Sb 2.02, 1 Mg 2.12
O10 0.2080 0.7920 0.8262  1 Al 1.92, 1 Sb 2.02, 1 Mg 2.12
O11 0.7080 0.7080 0.3262  1 Al 1.92, 1 Sb 2.02, 1 Mg 2.12
O12 0.2920 0.2920 0.3262  1 Al 1.92, 1 Sb 2.02, 1 Mg 2.12

density	4.51	g/cm³
formation energy from raw total energies	-1.7900	eV per atom
total magnetization	2.01	μB per formula unit

The lowest formation energy from raw total energies belongs to which entry? number 6

Which formula does entry 7 have? Mg2AlSeO6